Pm3ErSn2 after structural relaxation, computed with GGA-PBE.

```
Pm3ErSn2
1.0
-3.455 -0.449 3.008
-1.419 -3.788 -2.196
5.070 -4.855 5.099
Er Pm Sn
1 3 2
direct
0.500 0.500 0.000
0.000 0.000 0.000
0.000 0.500 0.651
0.500 0.000 0.349
0.500 0.000 0.723
0.000 0.500 0.277
```

Calculated values
Polymorph energy (0 for the lowest one) (eV/atom): 0.000
ΔH_f (0 K) (eV per atom): -0.580


PmEr2Sn2 after structural relaxation, computed with GGA-PBE.

```
PmEr2Sn2
1.0
-1.468 -2.654 3.787
5.137 2.065 3.438
-4.250 8.533 1.225
Sn Er Pm
4 4 2
direct
0.793 0.945 0.585
0.428 0.490 0.856
0.572 0.990 0.144
0.207 0.445 0.415
0.008 0.242 0.017
0.992 0.742 0.983
0.184 0.958 0.368
0.816 0.458 0.632
0.389 0.000 0.779
0.611 0.500 0.221
```

Calculated values
ΔH_f (0 K) (eV per atom): -0.586


Pm2ErSn6 after structural relaxation, computed with GGA-PBE.

```
Pm2ErSn6
1.0
-1.244 -2.462 3.542
5.120 3.545 7.116
-1.144 6.380 6.885
Pm Sn Er
2 6 1
direct
0.880 0.620 0.620
0.110 0.391 0.391
0.685 0.027 0.602
0.303 0.409 0.985
0.489 0.284 0.738
0.685 0.602 0.027
0.303 0.985 0.409
0.489 0.738 0.284
0.057 0.944 0.944
```

Calculated values
ΔH_f (0 K) (eV per atom): -0.468


Pm2ErSn after structural relaxation, computed with GGA-PBE.

```
Pm2ErSn
1.0
4.926 0.000 0.000
0.000 4.845 0.000
0.000 0.000 4.845
Pm Sn Er
2 1 1
direct
0.000 0.000 0.500
0.000 0.500 0.000
0.500 0.000 0.000
0.500 0.500 0.500
```

Calculated values
Polymorph energy (0 for the lowest one) (eV/atom): 0.000
ΔH_f (0 K) (eV per atom): -0.430


Pm3Er2Sn6 after structural relaxation, computed with GGA-PBE.

```
Pm3Er2Sn6
1.0
5.772 0.000 0.000
0.000 5.772 0.000
-2.886 -2.886 11.068
Pm Sn Er
3 6 2
direct
0.000 0.000 0.000
0.846 0.846 0.693
0.154 0.154 0.307
0.075 0.575 0.149
0.294 0.294 0.588
0.706 0.706 0.412
0.425 0.925 0.851
0.575 0.075 0.149
0.925 0.425 0.851
0.426 0.426 0.851
0.574 0.574 0.149
```

Calculated values
ΔH_f (0 K) (eV per atom): -0.241


Pm3ErSn5 after structural relaxation, computed with GGA-PBE.

```
Pm3ErSn5
1.0
6.439 0.000 0.000
0.000 9.522 0.000
0.000 -4.761 8.246
Er Pm Sn
2 6 10
direct
0.000 0.000 0.000
0.500 0.000 0.000
0.750 0.617 0.617
0.250 0.383 0.383
0.250 0.000 0.617
0.250 0.617 0.000
0.750 0.383 0.000
0.750 0.000 0.383
0.000 0.667 0.333
0.750 0.282 0.282
0.250 0.282 0.000
0.000 0.333 0.667
0.250 0.000 0.282
0.500 0.667 0.333
0.500 0.333 0.667
0.250 0.718 0.718
0.750 0.000 0.718
0.750 0.718 0.000
```

Calculated values
ΔH_f (0 K) (eV per atom): -0.635


Pm2Er3Sn4 after structural relaxation, computed with GGA-PBE.

```
Pm2Er3Sn4
1.0
-0.621 -1.037 -6.867
1.241 -8.732 1.207
-8.087 -0.548 4.353
Er Sn Pm
6 8 4
direct
0.457 0.250 0.414
0.957 0.250 0.414
0.500 0.500 0.000
0.043 0.750 0.586
0.000 0.000 0.000
0.543 0.750 0.586
0.186 0.945 0.373
0.781 0.250 0.062
0.281 0.250 0.062
0.314 0.445 0.627
0.686 0.555 0.373
0.219 0.750 0.938
0.814 0.055 0.627
0.719 0.750 0.938
0.889 0.411 0.778
0.611 0.911 0.222
0.389 0.089 0.778
0.111 0.589 0.222
```

Calculated values
ΔH_f (0 K) (eV per atom): -0.611


Pm3Er2Sn3 after structural relaxation, computed with GGA-PBE.

```
Pm3Er2Sn3
1.0
6.620 0.000 0.000
0.000 9.102 0.000
0.000 -4.551 7.883
Pm Er Sn
6 4 6
direct
0.750 0.242 0.000
0.250 0.242 0.242
0.250 0.000 0.758
0.250 0.758 0.000
0.750 0.758 0.758
0.750 0.000 0.242
0.000 0.667 0.333
0.000 0.333 0.667
0.500 0.667 0.333
0.500 0.333 0.667
0.250 0.398 0.000
0.750 0.602 0.000
0.250 0.000 0.398
0.250 0.602 0.602
0.750 0.000 0.602
0.750 0.398 0.398
```

Calculated values
ΔH_f (0 K) (eV per atom): -0.719


Pm5Er2Sn5 after structural relaxation, computed with GGA-PBE.

```
Pm5Er2Sn5
1.0
-3.932 -1.805 -0.967
2.035 -2.727 6.982
-5.565 11.398 1.347
Pm Sn Er
5 5 2
direct
0.274 0.549 0.656
0.726 0.451 0.344
0.500 0.000 0.500
0.340 0.679 0.961
0.660 0.321 0.039
0.000 0.000 0.000
0.694 0.387 0.792
0.306 0.613 0.208
0.115 0.230 0.426
0.885 0.770 0.574
0.051 0.103 0.787
0.949 0.897 0.213
```

Calculated values
ΔH_f (0 K) (eV per atom): -0.541


Pm2ErSn2 after structural relaxation, computed with GGA-PBE.

```
Pm2ErSn2
1.0
5.064 0.000 0.000
0.000 6.542 0.000
-2.532 0.000 9.150
Sn Pm Er
4 4 2
direct
0.189 0.477 0.377
0.576 0.977 0.151
0.424 0.477 0.849
0.811 0.977 0.623
0.807 0.477 0.613
0.193 0.977 0.387
0.000 0.227 0.000
0.000 0.727 0.000
0.603 0.477 0.206
0.397 0.977 0.794
```

Calculated values
Polymorph energy (0 for the lowest one) (eV/atom): 0.080
ΔH_f (0 K) (eV per atom): -0.633


Pm2Er5Sn4 after structural relaxation, computed with GGA-PBE.

```
Pm2Er5Sn4
1.0
-0.085 3.847 -2.559
5.021 -3.833 -5.929
-11.292 -1.321 2.562
Pm Er Sn
2 5 4
direct
0.684 0.031 0.369
0.316 0.969 0.631
0.091 0.588 0.183
0.500 0.000 0.000
0.833 0.649 0.667
0.167 0.351 0.333
0.909 0.412 0.817
0.949 0.130 0.898
0.051 0.870 0.102
0.691 0.637 0.381
0.309 0.363 0.619
```

Calculated values
ΔH_f (0 K) (eV per atom): -0.498


Pm5Er2Sn4 after structural relaxation, computed with GGA-PBE.

```
Pm5Er2Sn4
1.0
3.605 0.000 0.000
0.000 8.475 1.844
-1.803 0.201 11.600
Er Pm Sn
2 5 4
direct
0.055 0.602 0.109
0.945 0.398 0.891
0.816 0.050 0.631
0.797 0.639 0.594
0.500 0.000 0.000
0.203 0.361 0.406
0.184 0.950 0.369
0.650 0.687 0.299
0.925 0.765 0.850
0.075 0.235 0.150
0.350 0.313 0.701
```

Calculated values
ΔH_f (0 K) (eV per atom): -0.353


no.,total magnetization (μB/f.u.)
1,0.0
2,0.0
3,0.0
4,0.0
5,0.0
6,0.0
7,0.0
8,0.0
9,0.6
10,0.0
11,0.0
12,0.3